Entry 1:
This record from Alexandria describes a geometry-optimized TiS structure. The functional is PBE-GGA.

The structure in POSCAR format:
```
TiS
1.0
3.2583 0.0000 0.0000
-1.6291 2.8218 0.0000
0.0000 0.0000 6.4654
Ti S
2 2
direct
0.0000 0.0000 0.0000
0.0000 0.0000 0.5000
0.6667 0.3333 0.2500
0.3333 0.6667 0.7500
```

Summary:
Magnetization (μB per cell): 0.0
Total energy (eV per atom): -7.4349
Fermi-level density of states (states/eV per cell): 2.68

Entry 2:
This record from Alexandria describes a geometry-optimized TiS2 structure. The functional is PBE-GGA.

The structure in POSCAR format:
```
TiS2
1.0
3.6092 0.0000 0.0000
0.0000 6.6091 0.0000
0.0000 0.0000 8.0123
S Ti
8 4
direct
0.7500 0.0197 0.3507
0.7500 0.5197 0.1493
0.2500 0.8650 0.0868
0.2500 0.3650 0.4132
0.7500 0.6350 0.5868
0.2500 0.9803 0.6493
0.7500 0.1350 0.9132
0.2500 0.4803 0.8507
0.7500 0.7526 0.8899
0.2500 0.7474 0.3899
0.2500 0.2474 0.1101
0.7500 0.2526 0.6101
```

Summary:
Magnetization (μB per cell): 0.0
Total energy (eV per atom): -6.3792
Fermi-level density of states (states/eV per cell): 2.28

Entry 3:
This record from Alexandria describes a geometry-optimized TiS structure. The functional is PBE-GGA.

The structure in POSCAR format:
```
TiS
1.0
-1.2273 1.2224 2.9729
-9.2864 -5.5439 -1.5543
2.4226 -4.9038 3.0165
S Ti
6 6
direct
0.0000 0.0000 0.2557
0.5000 0.8079 0.6964
0.5000 0.6921 0.1964
0.0000 0.5000 0.7557
0.5000 0.3079 0.1964
0.5000 0.1921 0.6964
0.0000 0.2012 0.4161
0.0000 0.7988 0.4161
0.5000 0.5000 0.0212
0.0000 0.2988 0.9161
0.0000 0.7012 0.9161
0.5000 0.0000 0.5212
```

Summary:
Magnetization (μB per cell): 0.0
Total energy (eV per atom): -7.1762
Fermi-level density of states (states/eV per cell): 11.64

Entry 4:
This record from Alexandria describes a geometry-optimized TiS2 structure. The functional is PBE-GGA.

The structure in POSCAR format:
```
TiS2
1.0
7.1351 -0.3309 -0.1960
6.4782 3.0087 -0.1960
6.4782 1.2743 2.7326
S Ti
2 1
direct
0.5974 0.5974 0.5974
0.4026 0.4026 0.4026
0.0000 0.0000 0.0000
```

Summary:
Magnetization (μB per cell): 0.0
Total energy (eV per atom): -6.6577
Fermi-level density of states (states/eV per cell): 0.75

Entry 5:
This record from Alexandria describes a geometry-optimized TiS2 structure. The functional is PBE-GGA.

The structure in POSCAR format:
```
TiS2
1.0
-0.3102 -0.5830 -3.3420
5.0351 -2.2015 -0.0833
-2.3922 -5.5161 1.1842
S Ti
4 2
direct
0.5000 0.2441 0.8379
0.5000 0.7559 0.1621
0.0000 0.7441 0.6621
0.0000 0.2559 0.3379
0.0000 0.0000 0.0000
0.5000 0.5000 0.5000
```

Summary:
Magnetization (μB per cell): 0.0
Total energy (eV per atom): -6.5449
Fermi-level density of states (states/eV per cell): 0.30

Entry 6:
This record from Alexandria describes a geometry-optimized TiS4 structure. The functional is PBE-GGA.

The structure in POSCAR format:
```
TiS4
1.0
-2.3987 -1.2845 3.8157
-0.6640 -4.2545 -1.8496
3.9709 -1.4873 1.9956
S Ti
4 1
direct
0.5000 0.5000 0.0000
0.5000 0.0000 0.5000
0.0000 0.5000 0.5000
0.0000 0.0000 0.0000
0.5000 0.5000 0.5000
```

Summary:
Magnetization (μB per cell): 1.0
Total energy (eV per atom): -4.7363
Fermi-level density of states (states/eV per cell): 5.91

Entry 7:
This record from Alexandria describes a geometry-optimized TiS2 structure. The functional is PBE-GGA.

The structure in POSCAR format:
```
TiS2
1.0
-2.3165 1.8433 1.6855
-3.1446 -1.2261 0.4614
1.8180 -2.6627 5.4426
S Ti
2 1
direct
0.8327 0.8323 0.7253
0.1673 0.1673 0.2747
0.5001 0.5003 0.5000
```

Summary:
Magnetization (μB per cell): 0.0
Total energy (eV per atom): -6.6615
Fermi-level density of states (states/eV per cell): 0.15

Entry 8:
This record from Alexandria describes a geometry-optimized TiS2 structure. The functional is PBE-GGA.

The structure in POSCAR format:
```
TiS2
1.0
6.3826 -3.5369 0.0228
6.3826 3.5369 0.0228
4.4019 0.0000 5.8199
S Ti
8 4
direct
0.7445 0.2303 0.7445
0.2303 0.7445 0.7445
0.7566 0.7566 0.7566
0.2460 0.7673 0.2460
0.2460 0.2460 0.7673
0.2429 0.2429 0.2429
0.7445 0.7445 0.2303
0.7673 0.2460 0.2460
0.9922 0.9922 0.5337
0.9922 0.5337 0.9922
0.5337 0.9922 0.9922
0.3786 0.3786 0.3786
```

Summary:
Magnetization (μB per cell): 0.0
Total energy (eV per atom): -6.4927

Entry 9:
This record from Alexandria describes a geometry-optimized TiS2 structure. The functional is PBE-GGA.

The structure in POSCAR format:
```
TiS2
1.0
0.0024 3.0356 3.4761
-3.9092 -2.1472 -1.1857
1.0442 -3.6709 3.2050
S Ti
4 2
direct
0.6667 0.3333 0.2500
0.0000 0.0000 0.5000
0.0000 0.0000 0.0000
0.3333 0.6667 0.7500
0.6667 0.3333 0.7500
0.3333 0.6667 0.2500
```

Summary:
Magnetization (μB per cell): 0.2
Total energy (eV per atom): -5.9271
Fermi-level density of states (states/eV per cell): 4.42

Entry 10:
This record from Alexandria describes a geometry-optimized Ti4S structure. The functional is PBE-GGA.

The structure in POSCAR format:
```
Ti4S
1.0
-1.3452 2.1786 -3.6839
-3.7231 -2.5002 -0.1190
-2.1108 3.0215 2.5576
Ti S
4 1
direct
0.5000 0.5000 0.0000
0.5000 0.0000 0.5000
0.0000 0.5000 0.5000
0.0000 0.0000 0.0000
0.5000 0.5000 0.5000
```

Summary:
Magnetization (μB per cell): 0.0
Total energy (eV per atom): -7.4878
Fermi-level density of states (states/eV per cell): 5.37

Entry 11:
This record from Alexandria describes a geometry-optimized Ti2S structure. The functional is PBE-GGA.

The structure in POSCAR format:
```
Ti2S
1.0
-0.0518 -0.3632 -3.2557
-6.0667 -0.9433 0.2018
-1.4627 9.1921 -1.0021
S Ti
4 8
direct
0.7500 0.6281 0.6865
0.2500 0.3719 0.3135
0.2500 0.1281 0.8135
0.7500 0.8719 0.1865
0.7500 0.8647 0.9016
0.7500 0.3945 0.8964
0.2500 0.1353 0.0984
0.2500 0.8945 0.6036
0.7500 0.1055 0.3964
0.7500 0.6353 0.4016
0.2500 0.6055 0.1036
0.2500 0.3647 0.5984
```

Summary:
Magnetization (μB per cell): 0.0
Total energy (eV per atom): -7.6111
Fermi-level density of states (states/eV per cell): 9.68

Entry 12:
This record from Alexandria describes a geometry-optimized TiS2 structure. The functional is PBE-GGA.

The structure in POSCAR format:
```
TiS2
1.0
-0.3772 -3.3439 0.5254
2.4760 1.7073 1.6001
-8.4613 2.5727 10.3493
S Ti
4 2
direct
0.3329 0.6664 0.1047
0.6671 0.3335 0.8953
0.6665 0.3333 0.6047
0.3336 0.6668 0.3953
0.9999 0.9998 0.5000
0.0000 0.0002 0.0000
```

Summary:
Magnetization (μB per cell): 0.0
Total energy (eV per atom): -6.6608
Fermi-level density of states (states/eV per cell): 0.20

- Which of these has the lowest total energy?
  Ti2S

- The highest magnetization belongs to which entry?
  TiS4

- What is the formula in the eleventh record?
  Ti2S